Record 1
DFT (PBE) results for Th2Ga7Pt12 after structural relaxation.

As for the crystal system: hexagonal. The calculation puts the total magnetic moment at 0.0 μB/f.u. Its formation energy is -0.79 eV/atom. The value obtained for the uncorrected energy is -5.96 eV per atom.

CIF file:
```
data_Th2Ga7Pt12
_cell_length_a 10.0934
_cell_length_b 10.0934
_cell_length_c 4.1271
_cell_angle_alpha 90.00
_cell_angle_beta 90.00
_cell_angle_gamma 120.00
_space_group_name_H-M_alt 'P -6'
_space_group_IT_number 174
_space_group_name_Hall 'P -6'
loop_
_atom_site_label
_atom_site_type_symbol
_atom_site_fract_x
_atom_site_fract_y
_atom_site_fract_z
Th1 Th 0.0000 0.0000 0.0000
Th2 Th 0.3333 0.6667 0.5000
Ga1 Ga 0.0359 0.4653 0.0000
Ga2 Ga 0.2727 0.2603 0.5000
Ga3 Ga 0.6667 0.3333 0.0000
Pt1 Pt 0.0186 0.2507 0.5000
Pt2 Pt 0.1567 0.7548 0.0000
Pt3 Pt 0.3806 0.1973 0.0000
Pt4 Pt 0.5664 0.1332 0.5000
```

Record 2
DFT (PBE) results for UPaMn after structural relaxation.

As for the crystal system: orthorhombic. The calculation puts the total magnetic moment at 0.1 μB/f.u. Its formation energy is 0.45 eV/atom. For the energy above the most stable polymorph in this dataset, the calculation gives 375 meV/atom. The value obtained for the uncorrected energy is -9.54 eV per atom.

CIF file:
```
data_UPaMn
_cell_length_a 3.083
_cell_length_b 4.750
_cell_length_c 8.228
_cell_angle_alpha 90.00
_cell_angle_beta 90.00
_cell_angle_gamma 90.00
_space_group_name_H-M_alt 'P m m n'
_space_group_IT_number 59
loop_
_space_group_symop_operation_xyz
'x,y,z'
'-x,-y,-z'
'-x+1/2,-y+1/2,z'
'x+1/2,y+1/2,-z'
'x+1/2,-y,-z'
'-x+1/2,y,z'
'-x,y+1/2,-z'
'x,-y+1/2,z'
loop_
_atom_site_label
_atom_site_type_symbol
_atom_site_fract_x
_atom_site_fract_y
_atom_site_fract_z
U1 U 0.250 0.250 0.028
Pa1 Pa 0.250 0.750 0.293
Mn1 Mn 0.250 0.250 0.479
```

What is the uncorrected energy in the second record?
-9.54 eV per atom